(1)
SrCaNd | GGA-PBE | optimized geometry

POSCAR file:
```
SrCaNd
1.0
-1.701 2.377 2.623
-2.816 -2.672 0.595
6.765 -3.263 4.404
Ca Sr Nd
1 1 1
Direct
0.323 0.323 0.646
0.005 0.005 0.010
0.672 0.672 0.344
```

Summary:
**SG**: I4mm
**M_tot**: 0.00 μB/cell
**Energy relative to the elements**: 0.35 eV/f.u.
**Theoretical density**: 3.55 Mg/m³



(2)
Mg2TiCu2 | GGA-PBE | optimized geometry

POSCAR file:
```
Mg2TiCu2
1.0
-7.623 -0.391 0.642
0.715 -1.731 7.428
-0.084 2.657 0.627
Cu Mg Ti
4 4 2
Direct
0.832 0.332 0.500
0.332 0.168 0.500
0.668 0.832 0.500
0.168 0.668 0.500
0.632 0.132 0.000
0.132 0.368 0.000
0.868 0.632 0.000
0.368 0.868 0.000
0.000 0.000 0.000
0.500 0.500 0.000
```

Summary:
**SG**: P4/mbm
**M_tot**: 0.00 μB/cell
**Energy relative to the elements**: 0.62 eV/f.u.
**Theoretical density**: 4.63 Mg/m³



(3)
SrN2ClF | GGA-PBE | optimized geometry

POSCAR file:
```
SrN2ClF
1.0
5.462 0.000 0.000
0.000 5.462 0.000
0.000 0.000 4.499
Sr N F Cl
1 2 1 1
Direct
0.000 0.000 0.000
0.500 0.000 0.000
0.000 0.500 0.000
0.000 0.000 0.500
0.500 0.500 0.500
```

Summary:
**SG**: P4/mmm
**M_tot**: 6.05 μB/cell
**Theoretical density**: 2.10 Mg/m³
**ΔE_f (raw)**: 0.538 eV per atom



Q: Among the records above, which one has the highest M_tot?
A: SrN2ClF



Q: Number 2 is which compound?
A: Mg2TiCu2



What did the third record say?
SrN2ClF | GGA-PBE | optimized geometry

POSCAR file:
```
SrN2ClF
1.0
5.462 0.000 0.000
0.000 5.462 0.000
0.000 0.000 4.499
Sr N F Cl
1 2 1 1
Direct
0.000 0.000 0.000
0.500 0.000 0.000
0.000 0.500 0.000
0.000 0.000 0.500
0.500 0.500 0.500
```

Summary:
**SG**: P4/mmm
**M_tot**: 6.05 μB/cell
**Theoretical density**: 2.10 Mg/m³
**ΔE_f (raw)**: 0.538 eV per atom



Q: Look up the theoretical density of the first one.
A: 3.55 Mg/m³